(1)
Material: KReTc2
Method: DFT, GGA-PBE
State: relaxed

Results
Space-group type = P4/mmm (123)
Total DFT energy (no corrections) = -0.5193 Ry/atom
ΔE_f = 1.505 eV per atom
Energy above the most stable polymorph in this dataset = 793 meV per atom
V = 16.9 Å³/atom
Mass density = 10.4 Mg/m³

Lattice parameters (Å, degrees): 4.9241 4.9241 2.7832 90.00 90.00 90.00
Last column: nearest neighbours and their distance in Å.
Atoms (fractional coordinates):
K1 0.0000 0.0000 0.0000  2 K 2.78, 8 Tc 2.83
Re1 0.5000 0.5000 0.0000  2 Re 2.78, 8 Tc 2.83
Tc1 0.0000 0.5000 0.5000  2 Tc 2.78, 4 Re 2.83, 4 K 2.83
Tc2 0.5000 0.0000 0.5000  2 Tc 2.78, 4 Re 2.83, 4 K 2.83

---

(2)
Material: LiTl3Br6
Method: DFT, GGA-PBE
State: relaxed

Results
Uncorrected formation energy = -19.0 kcal/mol of atoms
Space-group type = P2_1/c (14)
Total DFT energy (no corrections) = -0.2005 Ry/atom
V = 32.0 Å³/atom
Mass density = 5.7 Mg/m³

Lattice parameters (Å, degrees): 7.4746 7.8913 13.1372 90.00 124.43 90.00
Last column: nearest neighbours and their distance in Å.
Atoms (fractional coordinates):
Li1 0.0000 0.0000 0.0000  6 Br 2.75-2.84
Li2 0.0000 0.5000 0.5000  6 Br 2.75-2.84
Tl1 0.2263 0.0821 0.7509  8 Br 3.35-3.67
Tl2 0.2263 0.4179 0.2509  8 Br 3.35-3.67
Tl3 0.5000 0.0000 0.5000  6 Br 2.80-2.83
Tl4 0.5000 0.5000 0.0000  6 Br 2.80-2.83
Tl5 0.7737 0.5821 0.7491  8 Br 3.35-3.67
Tl6 0.7737 0.9179 0.2491  8 Br 3.35-3.67
Br1 0.1517 0.1949 0.4582  1 Tl 2.80, 1 Li 2.84
Br2 0.1517 0.3051 0.9582  1 Tl 2.80, 1 Li 2.84
Br3 0.2652 0.6973 0.4614  1 Li 2.78, 1 Tl 2.83
Br4 0.2652 0.8027 0.9614  1 Li 2.78, 1 Tl 2.83
Br5 0.3325 0.0063 0.2469  1 Li 2.75, 1 Tl 2.81
Br6 0.3325 0.4937 0.7469  1 Li 2.75, 1 Tl 2.81
Br7 0.6675 0.5063 0.2531  1 Li 2.75, 1 Tl 2.81
Br8 0.6675 0.9937 0.7531  1 Li 2.75, 1 Tl 2.81
Br9 0.7348 0.1973 0.0386  1 Li 2.78, 1 Tl 2.83
Br10 0.7348 0.3027 0.5386  1 Li 2.78, 1 Tl 2.83
Br11 0.8483 0.6949 0.0418  1 Tl 2.80, 1 Li 2.84
Br12 0.8483 0.8051 0.5418  1 Tl 2.80, 1 Li 2.84

---

(3)
Material: Hf2GaCuH
Method: DFT, GGA-PBE
State: relaxed

Results
Space-group type = P4/mmm (123)
Total DFT energy (no corrections) = -0.4669 Ry/atom
V = 14.4 Å³/atom
Mass density = 11.3 Mg/m³

Lattice parameters (Å, degrees): 4.3257 4.3257 3.8511 90.00 90.00 90.00
Last column: nearest neighbours and their distance in Å.
Atoms (fractional coordinates):
Hf1 0.0000 0.5000 0.0000  2 H 2.16
Hf2 0.5000 0.0000 0.0000  2 H 2.16
Ga1 0.0000 0.0000 0.5000  8 Hf 2.90, 4 Cu 3.06
Cu1 0.5000 0.5000 0.5000  2 H 1.93
H1 0.5000 0.5000 0.0000  2 Cu 1.93